Record 1
Density functional theory data (PBE-GGA) for a relaxed CdHgAu2 crystal.

Geometry as POSCAR:
```
CdHgAu2
1.0
4.3992 -1.9744 0.1469
2.4202 -0.1908 4.1688
0.6700 -4.2363 2.2084
Au Cd Hg
2 1 1
Direct
0.0000 0.0000 0.0000 Au
0.2500 0.2500 0.2500 Au
0.5000 0.5000 0.5000 Cd
0.7500 0.7500 0.7500 Hg
```

## Properties
E_tot ... -1.936 eV/atom
Formation energy from the elements ... -2 kJ/mol of formula units


Record 2
Density functional theory data (PBE-GGA) for a relaxed CsNdSc crystal.

Geometry as POSCAR:
```
CsNdSc
1.0
0.0000 4.1791 4.1791
4.1791 0.0000 4.1791
4.1791 4.1791 0.0000
Cs Nd Sc
1 1 1
Direct
0.2500 0.2500 0.2500 Cs
0.7500 0.7500 0.7500 Nd
0.0000 0.0000 0.0000 Sc
```

## Properties
E_tot ... -2.782 eV/atom


> Which formula does entry 2 have?

CsNdSc


> What is the formula in the first record?

CdHgAu2


> Number 2 is which compound?

CsNdSc


> Which value of E_tot does entry 2 give?

-2.782 eV/atom